(1)
Compound: Nb3InGe
Source: Alexandria via LeMat-Bulk
Functional: PBE-GGA
Structure: optimized geometry

Unit cell a=5.023 b=5.023 c=5.023 alpha=90.00 beta=90.00 gamma=90.00
Last column: magnetic moment on the atom in μB.
Atoms (fractional coordinates):
Ge1 0.500 0.500 0.500  -0.01
Nb1 0.000 0.000 0.500  0.42
Nb2 0.500 0.000 0.000  0.42
Nb3 0.000 0.500 0.000  0.48
In1 0.000 0.000 0.000  0.03

Values from the calculation:
Crystal system: cubic
Formation energy: 1.836 eV per atom
Calculated density: 6.109 Mg/m³
Fermi-level density of states: 1.175 states/eV per atom
Energy above the lowest structure with this stoichiometry: 9.41 eV/f.u.

=====

(2)
Compound: SbTe2AsIr
Source: Alexandria via LeMat-Bulk
Functional: PBE-GGA
Structure: optimized geometry

Unit cell a=5.270 b=5.270 c=5.082 alpha=90.00 beta=90.00 gamma=90.00
Atoms (fractional coordinates):
Ir1 0.000 0.000 0.000
Sb1 0.000 0.000 0.500
Te1 0.000 0.500 0.000
Te2 0.500 0.000 0.000
As1 0.500 0.500 0.500

Values from the calculation:
Crystal system: tetragonal
Calculated density: 7.578 Mg/m³
Fermi-level density of states: 1.202 states/eV per atom
Energy above the lowest structure with this stoichiometry: 0.00 eV/f.u.
Formation energy without anion corrections: 0.65 eV per atom

=====

(3)
Compound: LiCaAcPt
Source: Alexandria via LeMat-Bulk
Functional: PBE-GGA
Structure: optimized geometry

Unit cell a=4.350 b=4.350 c=7.794 alpha=90.06 beta=106.16 gamma=119.96
Atoms (fractional coordinates):
Li1 0.523 0.626 0.149
Ca1 0.345 0.038 0.383
Pt1 0.829 0.279 0.107
Ac1 0.996 0.862 0.857

Values from the calculation:
Crystal system: monoclinic
Formation energy: -0.546 eV per atom
Calculated density: 6.439 Mg/m³
Fermi-level density of states: 0.374 states/eV per atom
Energy above the lowest structure with this stoichiometry: 0.00 eV/f.u.

=====

(4)
Compound: LaMo2Au
Source: Alexandria via LeMat-Bulk
Functional: PBE-GGA
Structure: optimized geometry

Unit cell a=5.577 b=5.577 c=2.765 alpha=90.00 beta=90.00 gamma=115.39
Atoms (fractional coordinates):
Mo1 0.000 0.000 0.000
Mo2 0.500 0.500 0.000
Au1 0.500 0.000 0.500
La1 0.000 0.500 0.500

Values from the calculation:
Crystal system: orthorhombic
Formation energy: 0.601 eV per atom
Calculated density: 11.282 Mg/m³
Fermi-level density of states: 1.060 states/eV per atom
Energy above the lowest structure with this stoichiometry: 2.04 eV/f.u.

=====

(5)
Compound: CrReRh2
Source: Alexandria via LeMat-Bulk
Functional: PBE-GGA
Structure: optimized geometry

Unit cell a=2.691 b=2.691 c=7.653 alpha=90.00 beta=90.00 gamma=90.00
Atoms (fractional coordinates):
Cr1 0.000 0.000 0.490
Re1 0.500 0.500 0.748
Rh1 0.500 0.500 0.269
Rh2 0.000 0.000 0.993

Values from the calculation:
Crystal system: tetragonal
Formation energy: -0.043 eV per atom
Calculated density: 13.306 Mg/m³
Fermi-level density of states: 0.898 states/eV per atom
Energy above the lowest structure with this stoichiometry: 0.36 eV/f.u.

=====

(6)
Compound: Ho2GaBiO6
Source: Alexandria via LeMat-Bulk
Functional: PBE-GGA
Structure: optimized geometry

Unit cell a=5.420 b=5.298 c=5.298 alpha=90.00 beta=90.00 gamma=90.00
Atoms (fractional coordinates):
O1 0.749 0.763 0.237
O2 0.749 0.763 0.763
O3 0.749 0.237 0.763
O4 0.245 0.000 0.000
O5 0.122 0.500 0.500
O6 0.749 0.237 0.237
Bi1 0.545 0.500 0.500
Ga1 0.589 0.000 0.000
Ho1 0.976 0.500 0.000
Ho2 0.976 0.000 0.500

Values from the calculation:
Crystal system: tetragonal
Calculated density: 7.689 Mg/m³
Fermi-level density of states: 0.000 states/eV per atom
Formation energy without anion corrections: -2.28 eV per atom

=====

(7)
Compound: CaRe3P
Source: Alexandria via LeMat-Bulk
Functional: PBE-GGA
Structure: optimized geometry

Unit cell a=4.492 b=4.492 c=4.492 alpha=90.00 beta=90.00 gamma=90.00
Last column: magnetic moment on the atom in μB.
Atoms (fractional coordinates):
P1 0.000 0.000 0.000  -0.01
Re1 0.000 0.500 0.000  0.39
Re2 0.500 0.000 0.000  0.20
Re3 0.000 0.000 0.500  0.47
Ca1 0.500 0.500 0.500  0.02

Values from the calculation:
Crystal system: cubic
Formation energy: 0.667 eV per atom
Calculated density: 11.533 Mg/m³
Fermi-level density of states: 0.981 states/eV per atom
Energy above the lowest structure with this stoichiometry: 0.00 eV/f.u.

=====

(8)
Compound: Ca2NdAu2
Source: Alexandria via LeMat-Bulk
Functional: PBE-GGA
Structure: optimized geometry

Unit cell a=4.742 b=5.838 c=11.747 alpha=112.76 beta=90.00 gamma=90.00
Atoms (fractional coordinates):
Ca1 0.250 0.766 0.879
Ca2 0.750 0.234 0.121
Ca3 0.750 0.706 0.460
Ca4 0.250 0.294 0.540
Au1 0.750 0.124 0.358
Au2 0.250 0.334 0.973
Au3 0.750 0.666 0.027
Au4 0.250 0.876 0.642
Nd1 0.250 0.811 0.209
Nd2 0.750 0.189 0.791

Values from the calculation:
Crystal system: monoclinic
Formation energy: -0.624 eV per atom
Calculated density: 6.848 Mg/m³
Fermi-level density of states: 0.781 states/eV per atom
Energy above the lowest structure with this stoichiometry: 0.03 eV/f.u.

=====

(9)
Compound: KSn2Te2
Source: Alexandria via LeMat-Bulk
Functional: PBE-GGA
Structure: optimized geometry

Unit cell a=5.928 b=5.928 c=6.715 alpha=63.81 beta=63.81 gamma=90.00
Atoms (fractional coordinates):
Sn1 0.349 0.349 0.301
Sn2 0.651 0.651 0.699
Te1 0.750 0.250 0.500
Te2 0.250 0.750 0.500
K1 0.000 0.000 0.000

Values from the calculation:
Crystal system: tetragonal
Calculated density: 4.790 Mg/m³
Fermi-level density of states: 0.280 states/eV per atom
Energy above the lowest structure with this stoichiometry: 0.00 eV/f.u.
Formation energy without anion corrections: -0.41 eV per atom

=====

(10)
Compound: Pm2Ho7Tm3
Source: Alexandria via LeMat-Bulk
Functional: PBE-GGA
Structure: optimized geometry

Unit cell a=3.565 b=5.731 c=18.581 alpha=93.72 beta=90.00 gamma=90.00
Atoms (fractional coordinates):
Ho1 0.500 0.818 0.824
Ho2 0.000 0.000 0.000
Ho3 0.500 0.742 0.462
Ho4 0.000 0.321 0.858
Ho5 0.000 0.679 0.142
Ho6 0.500 0.258 0.538
Ho7 0.500 0.182 0.176
Tm1 0.000 0.220 0.370
Tm2 0.500 0.500 0.000
Tm3 0.000 0.780 0.630
Pm1 0.500 0.295 0.706
Pm2 0.500 0.705 0.294

Values from the calculation:
Crystal system: monoclinic
Formation energy: 0.090 eV per atom
Calculated density: 8.553 Mg/m³
Fermi-level density of states: 1.208 states/eV per atom
Energy above the lowest structure with this stoichiometry: 0.14 eV/f.u.

=====

(11)
Compound: Mg2Mn2AlPt5
Source: Alexandria via LeMat-Bulk
Functional: PBE-GGA
Structure: optimized geometry

Unit cell a=3.818 b=9.266 c=9.266 alpha=90.00 beta=90.00 gamma=90.00
Last column: magnetic moment on the atom in μB.
Atoms (fractional coordinates):
Pt1 0.500 0.926 0.197  0.19
Pt2 0.500 0.303 0.574  0.19
Pt3 0.500 0.074 0.803  0.19
Pt4 0.500 0.500 0.000  0.29
Pt5 0.500 0.000 0.500  0.29
Pt6 0.500 0.426 0.303  0.19
Pt7 0.500 0.574 0.697  0.19
Pt8 0.500 0.803 0.926  0.19
Pt9 0.500 0.197 0.074  0.19
Pt10 0.500 0.697 0.426  0.19
Al1 0.000 0.500 0.500  0.01
Al2 0.000 0.000 0.000  0.01
Mg1 0.000 0.671 0.171  -0.01
Mg2 0.000 0.171 0.329  -0.01
Mg3 0.000 0.329 0.829  -0.01
Mg4 0.000 0.829 0.671  -0.01
Mn1 0.000 0.372 0.128  3.62
Mn2 0.000 0.872 0.372  3.62
Mn3 0.000 0.628 0.872  3.62
Mn4 0.000 0.128 0.628  3.62

Values from the calculation:
Crystal system: tetragonal
Formation energy: -0.505 eV per atom
Calculated density: 11.761 Mg/m³
Fermi-level density of states: 0.370 states/eV per atom

=====

(12)
Compound: LiVSn2
Source: Alexandria via LeMat-Bulk
Functional: PBE-GGA
Structure: optimized geometry

Unit cell a=3.462 b=3.462 c=6.373 alpha=90.00 beta=90.00 gamma=90.00
Last column: magnetic moment on the atom in μB.
Atoms (fractional coordinates):
Li1 0.500 0.500 0.500  0.01
Sn1 0.000 0.000 0.754  -0.04
Sn2 0.000 0.000 0.246  -0.04
V1 0.500 0.500 0.000  1.77

Values from the calculation:
Crystal system: tetragonal
Formation energy: -0.028 eV per atom
Calculated density: 6.420 Mg/m³
Fermi-level density of states: 0.509 states/eV per atom
Energy above the lowest structure with this stoichiometry: 0.00 eV/f.u.